Record 1
The following is a GGA-PBE calculation of crystalline Cr2CdRh at its relaxed geometry, from Alexandria via LeMat-Bulk.

Results
Its total magnetization is 7.4 μB per formula unit. Its raw total energy is -0.2268 hartree per atom.

CIF file:
```
data_Cr2CdRh
_cell_length_a 7.220
_cell_length_b 7.220
_cell_length_c 5.555
_cell_angle_alpha 90.00
_cell_angle_beta 90.00
_cell_angle_gamma 90.00
_symmetry_space_group_name_H-M 'I -4 2 d'
_symmetry_Int_Tables_number 122
_symmetry_space_group_name_Hall 'I -4 2bw'
loop_
_atom_site_label
_atom_site_fract_x
_atom_site_fract_y
_atom_site_fract_z
Cr1 0.211 0.250 0.125
Cd1 0.000 0.000 0.500
Rh1 0.000 0.000 0.000
```

=====

Record 2
The following is a GGA-PBE calculation of crystalline FeCuHg2 at its relaxed geometry, from Alexandria via LeMat-Bulk.

Results
Its total magnetization is 2.8 μB per formula unit. Its raw total energy is -0.1042 hartree per atom. For the energy above the most stable polymorph in this dataset, the calculation gives 138.5 meV/atom.

CIF file:
```
data_FeCuHg2
_cell_length_a 3.983
_cell_length_b 3.983
_cell_length_c 8.708
_cell_angle_alpha 90.00
_cell_angle_beta 90.00
_cell_angle_gamma 90.00
_symmetry_space_group_name_H-M 'I -4 m 2'
_symmetry_Int_Tables_number 119
_symmetry_space_group_name_Hall 'I -4 -2'
loop_
_atom_site_label
_atom_site_fract_x
_atom_site_fract_y
_atom_site_fract_z
Fe1 0.000 0.000 0.000
Cu1 0.000 0.500 0.250
Hg1 0.000 0.000 0.500
Hg2 0.000 0.500 0.750
```

=====

Record 3
The following is a GGA-PBE calculation of crystalline ThZrBe2Ge2 at its relaxed geometry, from Alexandria via LeMat-Bulk.

Results
Its total magnetization is 0.0 μB per formula unit. Its raw total energy is -0.2236 hartree per atom.

CIF file:
```
data_ThZrBe2Ge2
_cell_length_a 3.8786
_cell_length_b 3.8786
_cell_length_c 7.9959
_cell_angle_alpha 90.00
_cell_angle_beta 90.00
_cell_angle_gamma 120.00
_symmetry_space_group_name_H-M 'P -3 m 1'
_symmetry_Int_Tables_number 164
_symmetry_space_group_name_Hall '-P 3 2"'
loop_
_atom_site_label
_atom_site_fract_x
_atom_site_fract_y
_atom_site_fract_z
Th1 0.0000 0.0000 0.0000
Zr1 0.0000 0.0000 0.5000
Be1 0.3333 0.6667 0.7227
Ge1 0.3333 0.6667 0.2715
```

=====

Record 4
The following is a GGA-PBE calculation of crystalline PaGeBi at its relaxed geometry, from Alexandria via LeMat-Bulk.

Results
Its total magnetization is 0.0 μB per formula unit. Its raw total energy is -0.2170 hartree per atom. For the energy above the most stable polymorph in this dataset, the calculation gives 349.8 meV/atom.

CIF file:
```
data_PaGeBi
_cell_length_a 4.8407
_cell_length_b 4.8407
_cell_length_c 4.0578
_cell_angle_alpha 90.00
_cell_angle_beta 90.00
_cell_angle_gamma 120.00
_symmetry_space_group_name_H-M 'P 3 m 1'
_symmetry_Int_Tables_number 156
loop_
_symmetry_equiv_pos_as_xyz
'x,y,z'
'-y,x-y,z'
'-x+y,-x,z'
'-y,-x,z'
'-x+y,y,z'
'x,x-y,z'
loop_
_atom_site_label
_atom_site_fract_x
_atom_site_fract_y
_atom_site_fract_z
Pa1 0.0000 0.0000 0.0000
Ge1 0.3333 0.6667 0.0049
Bi1 0.6667 0.3333 0.5013
```

=====

Record 5
The following is a GGA-PBE calculation of crystalline Sc4GaGe at its relaxed geometry, from Alexandria via LeMat-Bulk.

Results
Its total magnetization is 0.0 μB per formula unit. Its raw total energy is -0.2173 hartree per atom.

CIF file:
```
data_Sc4GaGe
_cell_length_a 6.518
_cell_length_b 6.518
_cell_length_c 13.037
_cell_angle_alpha 90.00
_cell_angle_beta 90.00
_cell_angle_gamma 90.00
_symmetry_space_group_name_H-M 'I 41/a m d'
_symmetry_Int_Tables_number 141
loop_
_symmetry_equiv_pos_as_xyz
'x,y,z'
'-x,-y,-z'
'-y+1/4,x+3/4,z+1/4'
'y+1/4,-x+3/4,-z+1/4'
'-x+1/2,-y,z+1/2'
'x+1/2,y,-z+1/2'
'y+1/4,-x+1/4,z+3/4'
'-y+1/4,x+1/4,-z+3/4'
'x,-y,-z'
'-x,y,z'
'-y+1/4,-x+1/4,-z+3/4'
'y+1/4,x+1/4,z+3/4'
'-x+1/2,y,-z+1/2'
'x+1/2,-y,z+1/2'
'y+1/4,x+3/4,-z+1/4'
'-y+1/4,-x+3/4,z+1/4'
'x+1/2,y+1/2,z+1/2'
'-x+1/2,-y+1/2,-z+1/2'
'-y+3/4,x+1/4,z+3/4'
'y+3/4,-x+1/4,-z+3/4'
'-x,-y+1/2,z'
'x,y+1/2,-z'
'y+3/4,-x+3/4,z+1/4'
'-y+3/4,x+3/4,-z+1/4'
'x+1/2,-y+1/2,-z+1/2'
'-x+1/2,y+1/2,z+1/2'
'-y+3/4,-x+3/4,-z+1/4'
'y+3/4,x+3/4,z+1/4'
'-x,y+1/2,-z'
'x,-y+1/2,z'
'y+3/4,x+1/4,-z+3/4'
'-y+3/4,-x+1/4,z+3/4'
loop_
_atom_site_label
_atom_site_fract_x
_atom_site_fract_y
_atom_site_fract_z
Sc1 0.249 0.000 0.000
Ga1 0.000 0.250 0.875
Ge1 0.000 0.250 0.375
```

=====

Record 6
The following is a GGA-PBE calculation of crystalline TlCuGeSe2 at its relaxed geometry, from Alexandria via LeMat-Bulk.

Results
Its raw formation energy is 13.76 kcal/mol of atoms. Its total magnetization is 0.0 μB per formula unit. Its raw total energy is -0.1107 hartree per atom. For the energy above the most stable polymorph in this dataset, the calculation gives 651.6 meV/atom.

CIF file:
```
data_TlCuGeSe2
_cell_length_a 5.113
_cell_length_b 5.113
_cell_length_c 5.330
_cell_angle_alpha 90.00
_cell_angle_beta 90.00
_cell_angle_gamma 90.00
_symmetry_space_group_name_H-M 'P 4/m m m'
_symmetry_Int_Tables_number 123
_symmetry_space_group_name_Hall '-P 4 2'
loop_
_atom_site_label
_atom_site_fract_x
_atom_site_fract_y
_atom_site_fract_z
Tl1 0.000 0.000 0.000
Cu1 0.500 0.500 0.000
Ge1 0.000 0.000 0.500
Se1 0.000 0.500 0.500
```

=====

Record 7
The following is a GGA-PBE calculation of crystalline VGaSe4 at its relaxed geometry, from Alexandria via LeMat-Bulk.

Results
Its raw formation energy is -9.05 kcal/mol of atoms. Its total magnetization is 0.0 μB per formula unit. Its raw total energy is -0.1742 hartree per atom.

CIF file:
```
data_VGaSe4
_cell_length_a 16.082
_cell_length_b 4.468
_cell_length_c 9.685
_cell_angle_alpha 90.00
_cell_angle_beta 106.67
_cell_angle_gamma 90.00
_symmetry_space_group_name_H-M 'C 1 2/m 1'
_symmetry_Int_Tables_number 12
loop_
_symmetry_equiv_pos_as_xyz
'x,y,z'
'-x,-y,-z'
'-x,y,-z'
'x,-y,z'
'x+1/2,y+1/2,z'
'-x+1/2,-y+1/2,-z'
'-x+1/2,y+1/2,-z'
'x+1/2,-y+1/2,z'
loop_
_atom_site_label
_atom_site_fract_x
_atom_site_fract_y
_atom_site_fract_z
V1 0.172 0.000 0.262
Ga1 0.119 0.000 0.623
Se1 0.050 0.000 0.362
Se2 0.102 0.000 0.035
Se3 0.164 0.500 0.744
Se4 0.217 0.500 0.350
```

=====

Record 8
The following is a GGA-PBE calculation of crystalline CeY2ScTe4 at its relaxed geometry, from Alexandria via LeMat-Bulk.

Results
Its raw formation energy is -29.04 kcal/mol of atoms. Its total magnetization is 1.3 μB per formula unit. Its raw total energy is -0.2197 hartree per atom.

CIF file:
```
data_CeY2ScTe4
_cell_length_a 7.537
_cell_length_b 4.321
_cell_length_c 7.583
_cell_angle_alpha 90.00
_cell_angle_beta 109.02
_cell_angle_gamma 90.00
_symmetry_space_group_name_H-M 'P 1 2/m 1'
_symmetry_Int_Tables_number 10
loop_
_symmetry_equiv_pos_as_xyz
'x,y,z'
'-x,-y,-z'
'-x,y,-z'
'x,-y,z'
loop_
_atom_site_label
_atom_site_fract_x
_atom_site_fract_y
_atom_site_fract_z
Ce1 0.000 0.000 0.000
Y1 0.500 0.000 0.500
Y2 0.500 0.500 0.000
Sc1 0.000 0.500 0.500
Te1 0.243 0.000 0.737
Te2 0.252 0.500 0.262
```